CuAg2 | PBE-GGA | relaxed

Unit cell a=2.875 b=3.837 c=8.755 alpha=90.00 beta=90.00 gamma=90.00
Element x y z (fractional)
Cu1 0.000 0.000 0.000
Cu2 0.500 0.500 0.500
Ag1 0.000 0.000 0.340
Ag2 0.000 0.000 0.660
Ag3 0.500 0.500 0.160
Ag4 0.500 0.500 0.840

formation enthalpy at 0 K: 0.32 eV/f.u.
total energy: -9.475 eV/f.u.
calculated volume: 16.1 Å³/atom
mass density: 9.60 g/cm3
M_tot: 0.000 μB/f.u.
D(E_F): 1.75 states/eV/cell
E above lowest polymorph: 26 meV per atom